Entry 1:
Density functional theory data (GGA-PBE) for a relaxed CsAlHg2Bi crystal.

Computed properties:
The calculated formation energy comes out at -0.060 eV/atom. As for the uncorrected energy: -1.876 eV per atom.

CIF file:
```
data_CsAlHg2Bi
_chemical_formula_sum 'Cs1 Al1 Hg2 Bi1'
_cell_length_a 5.593
_cell_length_b 5.593
_cell_length_c 5.645
_cell_angle_alpha 90.00
_cell_angle_beta 90.00
_cell_angle_gamma 90.00
_symmetry_space_group_name_H-M 'P 4/m m m'
_symmetry_Int_Tables_number 123
_symmetry_space_group_name_Hall '-P 4 2'
loop_
_atom_site_label
_atom_site_type_symbol
_atom_site_fract_x
_atom_site_fract_y
_atom_site_fract_z
Cs1 Cs 0.000 0.000 0.000
Al1 Al 0.500 0.500 0.500
Hg1 Hg 0.000 0.500 0.500
Bi1 Bi 0.500 0.500 0.000
```

---

Entry 2:
Density functional theory data (GGA-PBE) for a relaxed Cs2AlBiI6 crystal.

Computed properties:
As for the formation energy from raw total energies: -854 meV/atom. As for the uncorrected energy: -2.717 eV per atom.

CIF file:
```
data_Cs2AlBiI6
_chemical_formula_sum 'Cs4 Al2 Bi2 I12'
_cell_length_a 8.685
_cell_length_b 8.685
_cell_length_c 12.260
_cell_angle_alpha 90.00
_cell_angle_beta 90.00
_cell_angle_gamma 90.00
_symmetry_space_group_name_H-M 'I 4/m m m'
_symmetry_Int_Tables_number 139
_symmetry_space_group_name_Hall '-I 4 2'
loop_
_atom_site_label
_atom_site_type_symbol
_atom_site_fract_x
_atom_site_fract_y
_atom_site_fract_z
Cs1 Cs 0.000 0.500 0.250
Al1 Al 0.000 0.000 0.000
Bi1 Bi 0.000 0.000 0.500
I1 I 0.000 0.000 0.243
I2 I 0.244 0.244 0.000
```